VASP calculation (PBE-GGA) on Y8GeAs3Se4 after structural relaxation. Values from VASP.

Properties
final energy = -6.924 eV per atom
magnetic moment = 0.000 μB per formula unit

The structure in Quantum ESPRESSO input format:
```
&SYSTEM
  ibrav = 0, nat = 16, ntyp = 4
/
ATOMIC_SPECIES
Se 78.96 Se.upf
Y 88.91 Y.upf
As 74.92 As.upf
Ge 72.64 Ge.upf
CELL_PARAMETERS angstrom
8.2346 0.0000 0.0000
0.0000 8.2513 0.0058
-4.1173 -4.1131 5.8258
ATOMIC_POSITIONS angstrom
Se -2.0586 -2.0565 2.9129
Se 4.1173 0.0000 0.0000
Se 2.0586 -2.0565 2.9129
Se 0.0000 0.0000 0.0000
Y -2.0751 1.9995 5.7883
Y 6.1924 2.1387 0.0433
Y 2.0422 2.1387 0.0433
Y 0.0000 4.0723 2.8522
Y 4.1173 4.0626 2.8682
Y 2.0751 1.9995 5.7883
Y 4.1173 0.0659 2.9794
Y 0.0000 0.0756 2.9634
As 4.1173 4.1256 0.0029
As 2.0586 2.0691 2.9158
As -2.0586 2.0691 2.9158
Ge 0.0000 4.1256 0.0029
```


VASP calculation (PBE-GGA) on Y6Ge2AsSe3 after structural relaxation. Values from VASP.

Properties
final energy = -6.794 eV per atom
magnetic moment = 0.000 μB per formula unit

The structure in Quantum ESPRESSO input format:
```
&SYSTEM
  ibrav = 0, nat = 12, ntyp = 4
/
ATOMIC_SPECIES
Se 78.96 Se.upf
Y 88.91 Y.upf
As 74.92 As.upf
Ge 72.64 Ge.upf
CELL_PARAMETERS angstrom
4.1314 0.0000 0.0000
0.0000 8.2782 0.2920
-2.0657 -2.3919 8.6897
ATOMIC_POSITIONS angstrom
Se 2.0657 4.1391 0.1460
Se 2.0657 -0.2253 5.8636
Se 0.0000 6.1116 3.1181
Y 2.0657 3.8796 8.8365
Y 2.0657 3.9554 3.1123
Y 2.0657 -0.0224 2.8894
Y 0.0000 1.9308 5.8694
Y 0.0000 2.0067 0.1451
Y 0.0000 5.9087 6.0923
As 2.0657 0.0000 0.0000
Ge 0.0000 1.9562 2.9904
Ge 2.0657 3.9300 5.9913
```